Computed, not measured: crystalline Tl2Ni2TeO6 at its relaxed geometry at the PBE with a Hubbard U level of DFT.

For the total energy, the calculation gives -53.574 eV/cell. Its space group is C2/m (12). The total magnetization comes out at 4.00 μB per formula unit.

Lattice parameters (Å, degrees): 5.364 5.364 6.863 98.41 98.41 119.70
Each line ends with the local moment (μB).
Atoms (fractional coordinates):
Ni1 0.333 0.667 0.500  1.76
Ni2 0.667 0.333 0.500  1.76
Te1 0.000 0.000 0.500  0.00
Tl1 0.171 0.829 0.000  0.01
Tl2 0.829 0.171 0.000  0.01
O1 0.942 0.629 0.340  0.07
O2 0.371 0.058 0.660  0.07
O3 0.058 0.371 0.660  0.07
O4 0.749 0.749 0.661  0.06
O5 0.629 0.942 0.340  0.07
O6 0.251 0.251 0.339  0.06